Computed, not measured: a geometry-optimized Tl2OsRh structure at the PBE-GGA level of DFT.

Summary:
As for the energy of formation from the pure elements: 0.864 eV per atom. Its energy relative to the lowest polymorph listed for this composition is 369 meV/atom. The total magnetization is 1.1 μB per formula unit. Its total energy is -19.9 eV/cell. The volume is 18.7 Å³/atom.

a = 5.4327 Å, b = 5.4327 Å, c = 5.4327 Å
α = 136.59°, β = 136.59°, γ = 63.07°
Last column: nearest neighbours and their distance in Å.
Element x y z (fractional)
1 Tl 0.0000 0.0000 0.0000  4 Rh 2.84, 4 Tl 3.07, 4 Os 3.07
2 Tl 0.7500 0.2500 0.5000  4 Os 2.84, 4 Tl 3.07, 4 Rh 3.07
3 Os 0.2500 0.7500 0.5000  8 Tl 2.84-3.07, 4 Rh 3.07
4 Rh 0.5000 0.5000 0.0000  8 Tl 2.84-3.07, 4 Os 3.07